# NaCdSn PBE optimized geometry
data_NaCdSn
_symmetry_space_group_name_H-M 'P 1'
_symmetry_Int_Tables_number 1
_symmetry_space_group_name_Hall 'P 1'
_cell_length_a 5.030
_cell_length_b 6.211
_cell_length_c 6.222
_cell_angle_alpha 88.95
_cell_angle_beta 66.19
_cell_angle_gamma 66.30
loop_
_atom_site_label
_atom_site_fract_x
_atom_site_fract_y
_atom_site_fract_z
Na1 0.000 0.000 0.000
Na2 0.499 0.438 0.562
Cd1 0.225 0.405 0.144
Cd2 0.774 0.856 0.595
Sn1 0.292 0.009 0.407
Sn2 0.708 0.593 0.991
# - Uncorrected energy: -2.2548 eV/atom
# - Relative energy among the computed polymorphs: 0 meV/atom
# - Size of the total moment: 0.0000 μB per atom

=====

# Ca2FeRe PBE optimized geometry
data_Ca2FeRe
_symmetry_space_group_name_H-M 'P 4 m m'
_symmetry_Int_Tables_number 99
_symmetry_space_group_name_Hall 'P 4 -2'
_cell_length_a 3.153
_cell_length_b 3.153
_cell_length_c 8.907
_cell_angle_alpha 90.00
_cell_angle_beta 90.00
_cell_angle_gamma 90.00
loop_
_atom_site_label
_atom_site_fract_x
_atom_site_fract_y
_atom_site_fract_z
Ca1 0.000 0.000 0.000
Ca2 0.500 0.500 0.389
Fe1 0.000 0.000 0.632
Re1 0.500 0.500 0.746
# - Uncorrected energy: -5.8423 eV/atom
# - Relative energy among the computed polymorphs: 0 meV/atom
# - Size of the total moment: 0.0196 μB per atom

=====

Across the entries above, energy of formation takes the values -4.05, 8.91 kcal/mol of atoms, respectively.